1) Below is a relaxed KIrRu2 crystal, with properties calculated at the PBE level.

a = 7.5229 Å, b = 7.5229 Å, c = 6.0586 Å
α = 51.62°, β = 51.62°, γ = 90.00°
Last column: nearest neighbours and their distance in Å.
Atoms (fractional coordinates):
1 Ru 0.8750 0.9438 0.7500  2 Ir 2.43
2 K 0.2500 0.7500 0.5000  2 Ir 2.90, 8 Ru 3.13-3.18
3 Ir 0.0000 0.0000 0.0000  4 Ru 2.43
4 Ru 0.6938 0.1250 0.2500  2 Ir 2.43
5 Ru 0.3750 0.3062 0.7500  2 Ir 2.43
6 Ir 0.7500 0.2500 0.5000  4 Ru 2.43
7 K 0.5000 0.5000 0.0000  2 Ir 2.90, 8 Ru 3.13-3.18
8 Ru 0.0562 0.6250 0.2500  2 Ir 2.43

Computed properties:
Space group: No. 122
Total magnetization (μB per cell): 0.000

2) Below is a relaxed KIrRu2 crystal, with properties calculated at the PBE level.

a = 4.5343 Å, b = 4.5343 Å, c = 4.5343 Å
α = 60.00°, β = 60.00°, γ = 60.00°
Last column: nearest neighbours and their distance in Å.
Atoms (fractional coordinates):
1 Ru 0.2500 0.2500 0.2500  4 Ir 2.78, 4 K 2.78
2 Ru 0.7500 0.7500 0.7500  4 Ir 2.78, 4 K 2.78
3 Ir 0.5000 0.5000 0.5000  8 Ru 2.78
4 K 0.0000 0.0000 0.0000  8 Ru 2.78

Computed properties:
Space group: No. 225
Total magnetization (μB per cell): 0.874

3) Below is a relaxed KIrRu2 crystal, with properties calculated at the PBE level.

a = 2.7387 Å, b = 5.0738 Å, c = 4.9015 Å
α = 90.00°, β = 90.00°, γ = 90.00°
Last column: nearest neighbours and their distance in Å.
Atoms (fractional coordinates):
1 Ru 0.5000 0.5000 0.0000  6 Ru 2.74-2.88, 4 K 2.81
2 Ir 0.5000 0.0000 0.5000  2 Ir 2.74, 4 Ru 2.81, 4 K 2.88
3 Ru 0.0000 0.0000 0.0000  6 Ru 2.74-2.88, 4 Ir 2.81
4 K 0.0000 0.5000 0.5000  2 K 2.74, 4 Ru 2.81, 4 Ir 2.88

Computed properties:
Space group: No. 47
Total magnetization (μB per cell): 2.671

4) Below is a relaxed KIrRu2 crystal, with properties calculated at the PBE level.

a = 4.9382 Å, b = 4.9382 Å, c = 2.7560 Å
α = 90.00°, β = 90.00°, γ = 90.00°
Last column: nearest neighbours and their distance in Å.
Atoms (fractional coordinates):
1 K 0.0000 0.5000 0.5000  2 K 2.76, 8 Ru 2.83
2 Ru 0.0000 0.0000 0.0000  2 Ru 2.76, 4 K 2.83, 4 Ir 2.83
3 Ir 0.5000 0.0000 0.5000  2 Ir 2.76, 8 Ru 2.83
4 Ru 0.5000 0.5000 0.0000  2 Ru 2.76, 4 K 2.83, 4 Ir 2.83

Computed properties:
Space group: No. 123
Total magnetization (μB per cell): 2.722

Top of the stability list: 4), leading by 0.7 kJ/mol of atoms.

1) Below is a relaxed KIrRu2 crystal, with properties calculated at the PBE level.

a = 2.7871 Å, b = 2.7871 Å, c = 9.1978 Å
α = 90.00°, β = 90.00°, γ = 90.00°
Last column: nearest neighbours and their distance in Å.
Atoms (fractional coordinates):
1 Ru 0.0000 0.0000 0.0612  8 Ru 2.62-2.79
2 Ru 0.5000 0.5000 0.2489  8 Ru 2.62-2.79, 4 Ir 2.68
3 Ir 0.0000 0.0000 0.4467  4 Ru 2.68, 4 Ir 2.79
4 K 0.5000 0.5000 0.7432  4 K 2.79

Computed properties:
Space group: No. 99
Total magnetization (μB per cell): 0.000

2) Below is a relaxed KIrRu2 crystal, with properties calculated at the PBE level.

a = 4.6988 Å, b = 4.6988 Å, c = 4.6988 Å
α = 125.34°, β = 125.34°, γ = 80.98°
Last column: nearest neighbours and their distance in Å.
Atoms (fractional coordinates):
1 Ru 0.0000 0.0000 0.0000  4 Ru 2.80, 4 K 2.80, 4 Ir 3.05
2 Ru 0.2500 0.7500 0.5000  4 Ru 2.80, 4 Ir 2.80, 4 K 3.05
3 K 0.7500 0.2500 0.5000  8 Ru 2.80-3.05, 4 Ir 2.80
4 Ir 0.5000 0.5000 0.0000  4 K 2.80, 8 Ru 2.80-3.05

Computed properties:
Space group: No. 119
Total magnetization (μB per cell): 0.943

3) Below is a relaxed KIrRu2 crystal, with properties calculated at the PBE level.

a = 3.9709 Å, b = 4.1625 Å, c = 4.1625 Å
α = 90.00°, β = 90.00°, γ = 90.00°
Last column: nearest neighbours and their distance in Å.
Atoms (fractional coordinates):
1 Ru 0.0000 0.5000 0.5000  4 Ir 2.88, 4 K 2.88, 4 Ru 2.94
2 K 0.5000 0.0000 0.5000  8 Ru 2.88, 4 Ir 2.94
3 Ru 0.0000 0.0000 0.0000  4 K 2.88, 4 Ir 2.88, 4 Ru 2.94
4 Ir 0.5000 0.5000 0.0000  8 Ru 2.88, 4 K 2.94

Computed properties:
Space group: No. 123
Total magnetization (μB per cell): 2.966

4) Below is a relaxed KIrRu2 crystal, with properties calculated at the PBE level.

a = 2.7371 Å, b = 2.7371 Å, c = 10.3445 Å
α = 90.00°, β = 90.00°, γ = 118.98°
Last column: nearest neighbours and their distance in Å.
Atoms (fractional coordinates):
1 Ru 0.0000 0.0000 0.4693  2 Ir 2.66, 6 Ru 2.74-2.78
2 Ir 0.5000 0.5000 0.2500  4 Ru 2.66, 6 Ir 2.74-2.78
3 Ru 0.0000 0.0000 0.0307  2 Ir 2.66, 6 Ru 2.74-2.78
4 K 0.5000 0.5000 0.7500  6 K 2.74-2.78

Computed properties:
Space group: No. 65
Total magnetization (μB per cell): 0.000

Top of the stability list: 1), leading by 26.2 kJ/mol of atoms.

1) Below is a relaxed KIrRu2 crystal, with properties calculated at the PBE level.

a = 2.7429 Å, b = 2.7429 Å, c = 10.2058 Å
α = 90.00°, β = 90.00°, γ = 118.18°
Last column: nearest neighbours and their distance in Å.
Atoms (fractional coordinates):
1 Ru 0.0000 0.0000 0.0342  8 Ru 2.59-2.82
2 Ru 0.5000 0.5000 0.2474  8 Ru 2.59-2.82, 2 Ir 2.68
3 Ir 0.0000 0.0000 0.4711  2 Ru 2.68, 6 Ir 2.74-2.82
4 K 0.5000 0.5000 0.7473  6 K 2.74-2.82

Computed properties:
Space group: No. 35
Total magnetization (μB per cell): 1.075

2) Below is a relaxed KIrRu2 crystal, with properties calculated at the PBE level.

a = 4.1385 Å, b = 2.7308 Å, c = 7.4597 Å
α = 79.64°, β = 90.00°, γ = 90.00°
Last column: nearest neighbours and their distance in Å.
Atoms (fractional coordinates):
1 Ru 0.5000 0.0557 0.2643  2 Ru 2.43, 4 Ir 2.68
2 K 0.5000 0.8160 0.7437  2 K 2.73
3 Ru 0.0000 0.1407 0.0898  2 Ru 2.43, 2 Ir 2.67
4 Ir 0.0000 0.4876 0.4022  6 Ru 2.67-2.68, 2 Ir 2.73

Computed properties:
Space group: No. 6
Total magnetization (μB per cell): 0.000

Top of the stability list: 2), leading by 5.9 kJ/mol of atoms.

1) Below is a relaxed KIrRu2 crystal, with properties calculated at the PBE level.

a = 4.5476 Å, b = 4.5476 Å, c = 7.0630 Å
α = 86.00°, β = 86.00°, γ = 34.86°
Last column: nearest neighbours and their distance in Å.
Atoms (fractional coordinates):
1 Ru 0.0163 0.0163 0.8979  2 Ir 2.57, 5 Ru 2.58-2.72
2 Ir 0.4846 0.4846 0.5942  5 Ru 2.57-2.65, 2 Ir 2.72
3 K 0.2476 0.2476 0.2542  2 K 2.72
4 Ru 0.7514 0.7514 0.7537  5 Ru 2.58-2.72, 3 Ir 2.62-2.65

Computed properties:
Space group: No. 8
Total magnetization (μB per cell): 0.000

2) Below is a relaxed KIrRu2 crystal, with properties calculated at the PBE level.

a = 10.3291 Å, b = 10.3291 Å, c = 10.3291 Å
α = 15.45°, β = 15.45°, γ = 15.45°
Last column: nearest neighbours and their distance in Å.
Atoms (fractional coordinates):
1 K 0.7500 0.7500 0.7500  6 K 2.78
2 Ru 0.9869 0.9869 0.9869  3 Ir 2.68, 6 Ru 2.78
3 Ru 0.5131 0.5131 0.5131  3 Ir 2.68, 6 Ru 2.78
4 Ir 0.2500 0.2500 0.2500  6 Ru 2.68, 6 Ir 2.78

Computed properties:
Space group: No. 166
Total magnetization (μB per cell): 0.029

3) Below is a relaxed KIrRu2 crystal, with properties calculated at the PBE level.

a = 3.8498 Å, b = 2.6948 Å, c = 8.2590 Å
α = 70.31°, β = 90.00°, γ = 90.00°
Last column: nearest neighbours and their distance in Å.
Atoms (fractional coordinates):
1 Ru 0.0000 0.5832 0.4111  3 Ru 2.51-2.69, 4 Ir 2.66
2 K 0.5000 0.7500 0.7500  2 K 2.69
3 Ru 0.0000 0.9168 0.0889  3 Ru 2.51-2.69, 4 Ir 2.66
4 Ir 0.5000 0.2500 0.2500  8 Ru 2.66, 2 Ir 2.69

Computed properties:
Space group: No. 10
Total magnetization (μB per cell): 0.000

4) Below is a relaxed KIrRu2 crystal, with properties calculated at the PBE level.

a = 5.9375 Å, b = 5.9375 Å, c = 5.9375 Å
α = 153.58°, β = 129.28°, γ = 58.08°
Last column: nearest neighbours and their distance in Å.
Atoms (fractional coordinates):
1 K 0.2500 0.7500 0.5000  2 K 2.71, 4 Ir 2.88
2 Ir 0.7500 0.2500 0.5000  4 Ru 2.59, 2 Ir 2.71, 4 K 2.88
3 Ru 0.9626 0.9626 0.0000  2 Ir 2.59, 2 Ru 2.71
4 Ru 0.5374 0.5374 0.0000  2 Ir 2.59, 2 Ru 2.71

Computed properties:
Space group: No. 71
Total magnetization (μB per cell): 0.000

Top of the stability list: 3), leading by 2.8 kJ/mol of atoms.